# 1
Y2HoAl2 | the Alexandria database | PBE-GGA | optimized geometry; energy of formation = -0.14 eV per atom; DFT total energy = -5.1398 eV/atom; excess energy over the best structure of this formula in the dataset = 192 meV per atom; M_tot = 0.00 μB/f.u.
1.0
5.607 0.000 0.000
0.000 3.606 0.000
-1.439 0.000 13.293
Y Ho Al
4 2 4
direct
0.153 0.250 0.112
0.260 0.750 0.540
0.740 0.250 0.460
0.847 0.750 0.888
0.318 0.250 0.766
0.682 0.750 0.234
0.208 0.250 0.341
0.350 0.750 0.957
0.650 0.250 0.043
0.792 0.750 0.659

=====

# 2
NpTeCl3 | the Alexandria database | PBE-GGA | optimized geometry; DFT total energy = -5.6122 eV/atom; formation energy without anion corrections = -1288 meV per atom; M_tot = 2.97 μB/f.u.
1.0
5.674 -4.228 0.000
5.674 4.228 0.000
-4.455 0.000 6.386
Np Te Cl
2 2 6
direct
0.220 0.220 0.078
0.780 0.780 0.922
0.440 0.440 0.606
0.560 0.560 0.394
0.055 0.055 0.247
0.083 0.458 0.826
0.458 0.083 0.826
0.542 0.917 0.174
0.917 0.542 0.174
0.945 0.945 0.753

=====

# 3
As2P | the Alexandria database | PBE-GGA | optimized geometry; energy of formation = 0.07 eV per atom; DFT total energy = -4.8301 eV/atom; excess energy over the best structure of this formula in the dataset = 14 meV per atom; M_tot = 0.00 μB/f.u.
1.0
5.048 0.000 0.000
-1.734 5.597 0.000
-1.633 -2.619 4.988
As P
4 2
direct
0.000 0.000 0.000
0.200 0.899 0.641
0.444 0.442 0.347
0.752 0.195 0.470
0.269 0.534 0.694
0.719 0.237 0.878